# Y2HgSbW | Alexandria | PBE | relaxed
# **Formation energy (no corrections)**: 735 meV/atom
data_Y2HgSbW
_cell_length_a 5.649
_cell_length_b 5.649
_cell_length_c 4.963
_cell_angle_alpha 90.00
_cell_angle_beta 90.00
_cell_angle_gamma 90.00
_space_group_name_H-M_alt 'P 4/m m m'
_space_group_IT_number 123
_space_group_name_Hall '-P 4 2'
loop_
_atom_site_label
_atom_site_type_symbol
_atom_site_fract_x
_atom_site_fract_y
_atom_site_fract_z
_atom_site_occupancy
Y1 Y 0.000 0.500 0.000 1
Hg1 Hg 0.000 0.000 0.500 1
Sb1 Sb 0.500 0.500 0.000 1
W1 W 0.500 0.500 0.500 1



# PmUOsPd | Alexandria | PBE | relaxed
# **Calculated formation energy**: -15 kJ per mole of atoms
data_PmUOsPd
_cell_length_a 6.967
_cell_length_b 6.967
_cell_length_c 6.967
_cell_angle_alpha 90.00
_cell_angle_beta 90.00
_cell_angle_gamma 90.00
_space_group_name_H-M_alt 'F -4 3 m'
_space_group_IT_number 216
_space_group_name_Hall 'F -4 2 3'
loop_
_atom_site_label
_atom_site_type_symbol
_atom_site_fract_x
_atom_site_fract_y
_atom_site_fract_z
_atom_site_occupancy
Pm1 Pm 0.000 0.000 0.000 1
U1 U 0.000 0.000 0.500 1
Os1 Os 0.250 0.250 0.250 1
Pd1 Pd 0.250 0.250 0.750 1



# Eu2TmMg | Alexandria | PBE | relaxed
# **Calculated formation energy**: 8 kJ per mole of atoms
# **Polymorph energy (0 for the lowest one)**: 38 meV/atom
data_Eu2TmMg
_cell_length_a 8.106
_cell_length_b 8.106
_cell_length_c 8.106
_cell_angle_alpha 90.00
_cell_angle_beta 90.00
_cell_angle_gamma 90.00
_space_group_name_H-M_alt 'F m -3 m'
_space_group_IT_number 225
_space_group_name_Hall '-F 4 2 3'
loop_
_atom_site_label
_atom_site_type_symbol
_atom_site_fract_x
_atom_site_fract_y
_atom_site_fract_z
_atom_site_occupancy
Eu1 Eu 0.250 0.250 0.250 1
Tm1 Tm 0.000 0.000 0.000 1
Mg1 Mg 0.000 0.000 0.500 1



# In4OsW | Alexandria | PBE | relaxed
# **Calculated formation energy**: 133 kJ per mole of atoms
data_In4OsW
_cell_length_a 7.859
_cell_length_b 7.859
_cell_length_c 7.859
_cell_angle_alpha 90.00
_cell_angle_beta 90.00
_cell_angle_gamma 90.00
_space_group_name_H-M_alt 'F -4 3 m'
_space_group_IT_number 216
_space_group_name_Hall 'F -4 2 3'
loop_
_atom_site_label
_atom_site_type_symbol
_atom_site_fract_x
_atom_site_fract_y
_atom_site_fract_z
_atom_site_occupancy
In1 In 0.125 0.125 0.125 1
Os1 Os 0.250 0.250 0.750 1
W1 W 0.000 0.000 0.500 1



# PmEr3Mg | Alexandria | PBE | relaxed
# **Calculated formation energy**: 21 kJ per mole of atoms
# **Polymorph energy (0 for the lowest one)**: 227 meV/atom
data_PmEr3Mg
_cell_length_a 8.0202
_cell_length_b 8.0202
_cell_length_c 5.7224
_cell_angle_alpha 90.00
_cell_angle_beta 90.00
_cell_angle_gamma 120.00
_space_group_name_H-M_alt 'P 63/m m c'
_space_group_IT_number 194
_space_group_name_Hall '-P 6c 2c'
loop_
_atom_site_label
_atom_site_type_symbol
_atom_site_fract_x
_atom_site_fract_y
_atom_site_fract_z
_atom_site_occupancy
Pm1 Pm 0.3333 0.6667 0.2500 1
Er1 Er 0.1945 0.3890 0.7500 1
Mg1 Mg 0.0000 0.0000 0.0000 1



# ErTm3Ga3 | Alexandria | PBE | relaxed
# **Calculated formation energy**: -40 kJ per mole of atoms
data_ErTm3Ga3
_cell_length_a 8.9696
_cell_length_b 8.9696
_cell_length_c 4.7630
_cell_angle_alpha 90.00
_cell_angle_beta 90.00
_cell_angle_gamma 120.00
_space_group_name_H-M_alt 'P 63/m'
_space_group_IT_number 176
_space_group_name_Hall '-P 6c'
loop_
_atom_site_label
_atom_site_type_symbol
_atom_site_fract_x
_atom_site_fract_y
_atom_site_fract_z
_atom_site_occupancy
Er1 Er 0.3333 0.6667 0.2500 1
Tm1 Tm 0.0125 0.2511 0.7500 1
Ga1 Ga 0.0594 0.6096 0.7500 1



# Na3AlAs | Alexandria | PBE | relaxed
# **Calculated formation energy**: 18 kJ per mole of atoms
# **Polymorph energy (0 for the lowest one)**: 0 meV/atom
data_Na3AlAs
_cell_length_a 5.525
_cell_length_b 5.525
_cell_length_c 5.525
_cell_angle_alpha 90.00
_cell_angle_beta 90.00
_cell_angle_gamma 90.00
_space_group_name_H-M_alt 'P m -3 m'
_space_group_IT_number 221
_space_group_name_Hall '-P 4 2 3'
loop_
_atom_site_label
_atom_site_type_symbol
_atom_site_fract_x
_atom_site_fract_y
_atom_site_fract_z
_atom_site_occupancy
Na1 Na 0.000 0.000 0.500 1
Al1 Al 0.500 0.500 0.500 1
As1 As 0.000 0.000 0.000 1



# LiIn3C | Alexandria | PBE | relaxed
# **Calculated formation energy**: 72 kJ per mole of atoms
# **Polymorph energy (0 for the lowest one)**: 0 meV/atom
data_LiIn3C
_cell_length_a 4.817
_cell_length_b 4.817
_cell_length_c 4.817
_cell_angle_alpha 90.00
_cell_angle_beta 90.00
_cell_angle_gamma 90.00
_space_group_name_H-M_alt 'P m -3 m'
_space_group_IT_number 221
_space_group_name_Hall '-P 4 2 3'
loop_
_atom_site_label
_atom_site_type_symbol
_atom_site_fract_x
_atom_site_fract_y
_atom_site_fract_z
_atom_site_occupancy
Li1 Li 0.000 0.000 0.000 1
In1 In 0.000 0.500 0.500 1
C1 C 0.500 0.500 0.500 1



# Nd4TmSc2 | Alexandria | PBE | relaxed
# **Calculated formation energy**: 24 kJ per mole of atoms
# **Polymorph energy (0 for the lowest one)**: 92 meV/atom
data_Nd4TmSc2
_cell_length_a 6.684
_cell_length_b 21.826
_cell_length_c 6.125
_cell_angle_alpha 90.00
_cell_angle_beta 90.00
_cell_angle_gamma 90.00
_space_group_name_H-M_alt 'I b a m'
_space_group_IT_number 72
_space_group_name_Hall '-I 2 2c'
loop_
_atom_site_label
_atom_site_type_symbol
_atom_site_fract_x
_atom_site_fract_y
_atom_site_fract_z
_atom_site_occupancy
Nd1 Nd 0.100 0.085 0.000 1
Nd2 Nd 0.105 0.367 0.000 1
Tm1 Tm 0.000 0.500 0.250 1
Sc1 Sc 0.119 0.242 0.500 1



# NpTiPd | Alexandria | PBE | relaxed
# **Calculated formation energy**: 3 kJ per mole of atoms
data_NpTiPd
_cell_length_a 3.556
_cell_length_b 3.556
_cell_length_c 8.176
_cell_angle_alpha 90.00
_cell_angle_beta 90.00
_cell_angle_gamma 90.00
_space_group_name_H-M_alt 'P 4/n m m'
_space_group_IT_number 129
loop_
_space_group_symop_operation_xyz
'x,y,z'
'-x,-y,-z'
'-y+1/2,x,z'
'y+1/2,-x,-z'
'-x+1/2,-y+1/2,z'
'x+1/2,y+1/2,-z'
'y,-x+1/2,z'
'-y,x+1/2,-z'
'x+1/2,-y,-z'
'-x+1/2,y,z'
'-y,-x,-z'
'y,x,z'
'-x,y+1/2,-z'
'x,-y+1/2,z'
'y+1/2,x+1/2,-z'
'-y+1/2,-x+1/2,z'
loop_
_atom_site_label
_atom_site_type_symbol
_atom_site_fract_x
_atom_site_fract_y
_atom_site_fract_z
_atom_site_occupancy
Np1 Np 0.250 0.750 0.000 1
Ti1 Ti 0.250 0.250 0.280 1
Pd1 Pd 0.250 0.250 0.609 1



# AlAg2Hg2 | Alexandria | PBE | relaxed
# **Calculated formation energy**: 20 kJ per mole of atoms
# **Polymorph energy (0 for the lowest one)**: 31 meV/atom
data_AlAg2Hg2
_cell_length_a 7.472
_cell_length_b 7.472
_cell_length_c 3.799
_cell_angle_alpha 90.00
_cell_angle_beta 90.00
_cell_angle_gamma 90.00
_space_group_name_H-M_alt 'P 4/m b m'
_space_group_IT_number 127
_space_group_name_Hall '-P 4 2ab'
loop_
_atom_site_label
_atom_site_type_symbol
_atom_site_fract_x
_atom_site_fract_y
_atom_site_fract_z
_atom_site_occupancy
Al1 Al 0.000 0.000 0.000 1
Ag1 Ag 0.142 0.358 0.500 1
Hg1 Hg 0.157 0.657 0.000 1



# VReRuC2 | Alexandria | PBE | relaxed
# **Calculated formation energy**: 196 kJ per mole of atoms
data_VReRuC2
_cell_length_a 3.762
_cell_length_b 3.762
_cell_length_c 5.407
_cell_angle_alpha 90.00
_cell_angle_beta 90.00
_cell_angle_gamma 90.00
_space_group_name_H-M_alt 'P 4/m m m'
_space_group_IT_number 123
_space_group_name_Hall '-P 4 2'
loop_
_atom_site_label
_atom_site_type_symbol
_atom_site_fract_x
_atom_site_fract_y
_atom_site_fract_z
_atom_site_occupancy
V1 V 0.000 0.000 0.000 1
Re1 Re 0.500 0.500 0.000 1
Ru1 Ru 0.500 0.500 0.500 1
C1 C 0.000 0.500 0.500 1